Record 1
A plane-wave DFT calculation with PBE was carried out for an optimized crystal structure of HfPa2Se.

Values from the calculation:
Uncorrected formation energy, eV/atom: 0.06
D(E_F), states/eV per atom: 1.683
SG: R-3m, No. 166

Lattice parameters (Å, degrees): 5.3070 5.3070 4.9434 57.54 57.54 60.00
Closest atoms and distances in Å follow each position.
Element x y z (fractional)
Pa 0.2506 0.2506 0.2481  4 Hf 2.90-3.22, 4 Se 2.92-3.21
Pa 0.7494 0.7494 0.7519  4 Hf 2.90-3.22, 4 Se 2.92-3.21
Hf 0.5000 0.5000 0.5000  8 Pa 2.90-3.22
Se 0.0000 0.0000 0.0000  8 Pa 2.92-3.21

***

Record 2
A plane-wave DFT calculation with PBE was carried out for an optimized crystal structure of HfPa2Se8.

Values from the calculation:
Uncorrected formation energy, eV/atom: -0.78
D(E_F), states/eV per atom: 1.062
SG: P-3m1, No. 164

Lattice parameters (Å, degrees): 5.4650 8.4968 8.4968 120.00 90.00 90.00
Closest atoms and distances in Å follow each position.
Element x y z (fractional)
Hf 0.5000 0.0000 0.0000  6 Se 2.64
Pa 0.7592 0.6667 0.3333  5 Se 2.71-2.74
Pa 0.2408 0.3333 0.6667  5 Se 2.71-2.74
Se 0.7397 0.3333 0.6667  2 Pa 2.73-2.74
Se 0.2603 0.6667 0.3333  2 Pa 2.73-2.74
Se 0.2308 0.1491 0.2983  1 Hf 2.64, 1 Pa 2.71
Se 0.7692 0.8509 0.7017  1 Hf 2.64, 1 Pa 2.71
Se 0.7692 0.2983 0.1491  1 Hf 2.64, 1 Pa 2.71
Se 0.2308 0.7017 0.8509  1 Hf 2.64, 1 Pa 2.71
Se 0.2308 0.1491 0.8509  1 Hf 2.64, 1 Pa 2.71
Se 0.7692 0.8509 0.1491  1 Hf 2.64, 1 Pa 2.71